The following is a GGA-PBE calculation of a relaxed CsSrH3 crystal, from Alexandria via LeMat-Bulk.

extended XYZ file:
```
10
Lattice="4.655 0.000 0.000 -2.327 4.031 0.000 0.000 0.000 10.443" Properties=species:S:1:pos:R:3 pbc="T T T"
Sr 0.000 0.000 5.222
Sr 0.000 0.000 0.000
H 2.327 1.344 9.911
H 0.000 0.000 7.833
H 0.000 2.688 0.533
H 0.000 2.688 4.689
H 0.000 0.000 2.611
H 2.327 1.344 5.754
Cs 0.000 2.688 7.833
Cs 2.327 1.344 2.611
```

Volume ... 19.6 Å³/atom
Mass density ... 3.788 g/cm³
Space group ... P6_3/mmc
VASP energy ... -13.84 eV/f.u.
D(E_F) ... 0.0 states/eV/cell